No. 1
Below is Cs2VH5 after structural relaxation, with properties calculated at the PBE level.

Cell: 6.184 6.184 6.326 Å, 116.74 116.74 91.97°
Fractional positions:
Cs (0.247, 0.753, 0.000)
Cs (0.753, 0.247, 0.000)
V (0.527, 0.527, 0.507)
H (0.246, 0.597, 0.469)
H (0.333, 0.333, 0.136)
H (0.597, 0.246, 0.469)
H (0.698, 0.698, 0.883)
H (0.701, 0.701, 0.454)

## Properties
E_tot: -3.44 eV per atom
DOS at the Fermi energy: 0.960 states/eV per cell
crystal system: monoclinic
space-group type: Cm, No. 8
total moment: 2.000 μB/f.u.



No. 2
Below is Cs2VH after structural relaxation, with properties calculated at the PBE level.

Cell: 6.321 6.321 6.321 Å, 60.00 60.00 60.00°
Fractional positions:
Cs (0.250, 0.250, 0.250)
Cs (0.750, 0.750, 0.750)
V (0.000, 0.000, 0.000)
H (0.500, 0.500, 0.500)

## Properties
E_tot: -2.47 eV per atom
DOS at the Fermi energy: 6.732 states/eV per cell
crystal system: cubic
energy above the most stable polymorph in this dataset: 127 meV/atom
space-group type: Fm-3m, No. 225
total moment: 3.987 μB/f.u.



No. 3
Below is Cs2VH after structural relaxation, with properties calculated at the PBE level.

Cell: 7.994 7.994 7.994 Å, 110.99 110.99 106.47°
Fractional positions:
Cs (0.030, 0.625, 0.905)
Cs (0.375, 0.280, 0.405)
Cs (0.720, 0.125, 0.095)
Cs (0.875, 0.970, 0.595)
V (0.250, 0.750, 0.500)
V (0.500, 0.500, 0.000)
H (0.000, 0.000, 0.000)
H (0.750, 0.250, 0.500)

## Properties
E_tot: -2.60 eV per atom
DOS at the Fermi energy: 14.745 states/eV per cell
crystal system: tetragonal
energy above the most stable polymorph in this dataset: 0 meV/atom
space-group type: I-42d, No. 122
total moment: 4.064 μB/f.u.



No. 4
Below is Cs2VHW after structural relaxation, with properties calculated at the PBE level.

Cell: 6.743 6.743 4.523 Å, 90.00 90.00 90.00°
Fractional positions:
Cs (0.000, 0.500, 0.000)
Cs (0.500, 0.000, 0.000)
V (0.000, 0.000, 0.000)
H (0.500, 0.500, 0.500)
W (0.000, 0.000, 0.500)

## Properties
E_tot: -3.84 eV per atom
DOS at the Fermi energy: 2.225 states/eV per cell
crystal system: tetragonal
space-group type: P4/mmm, No. 123
total moment: 0.193 μB/f.u.



No. 5
Below is Cs2HW after structural relaxation, with properties calculated at the PBE level.

Cell: 6.219 6.219 6.219 Å, 60.00 60.00 60.00°
Fractional positions:
Cs (0.250, 0.250, 0.250)
Cs (0.750, 0.750, 0.750)
H (0.000, 0.000, 0.000)
W (0.500, 0.500, 0.500)

## Properties
E_tot: -2.88 eV per atom
DOS at the Fermi energy: 0.029 states/eV per cell
crystal system: cubic
space-group type: Fm-3m, No. 225
total moment: 5.018 μB/f.u.



No. 6
Below is CsH3W after structural relaxation, with properties calculated at the PBE level.

Cell: 4.192 4.192 4.192 Å, 90.00 90.00 90.00°
Fractional positions:
Cs (0.000, 0.000, 0.000)
H (0.000, 0.500, 0.500)
H (0.500, 0.000, 0.500)
H (0.500, 0.500, 0.000)
W (0.500, 0.500, 0.500)

## Properties
E_tot: -4.10 eV per atom
DOS at the Fermi energy: 1.635 states/eV per cell
crystal system: cubic
energy above the most stable polymorph in this dataset: 0 meV/atom
space-group type: Pm-3m, No. 221
total moment: 3.586 μB/f.u.



No. 7
Below is Cs3H6W after structural relaxation, with properties calculated at the PBE level.

Cell: 6.646 6.646 6.644 Å, 119.98 119.98 59.99°
Fractional positions:
Cs (0.000, 0.000, 0.000)
Cs (0.250, 0.250, 0.750)
Cs (0.750, 0.750, 0.250)
H (0.302, 0.696, 0.696)
H (0.303, 0.303, 0.301)
H (0.304, 0.698, 0.304)
H (0.696, 0.302, 0.696)
H (0.697, 0.697, 0.699)
H (0.698, 0.304, 0.304)
W (0.500, 0.500, 0.500)

## Properties
E_tot: -3.59 eV per atom
crystal system: monoclinic
space-group type: C2/m, No. 12
total moment: 3.000 μB/f.u.



No. 8
Below is CsH3W after structural relaxation, with properties calculated at the PBE level.

Cell: 4.350 4.350 4.350 Å, 90.00 90.00 90.00°
Fractional positions:
Cs (0.000, 0.000, 0.000)
H (0.000, 0.000, 0.500)
H (0.000, 0.500, 0.000)
H (0.500, 0.000, 0.000)
W (0.500, 0.500, 0.500)

## Properties
E_tot: -2.34 eV per atom
DOS at the Fermi energy: 2.475 states/eV per cell
crystal system: cubic
energy above the most stable polymorph in this dataset: 1759 meV/atom
space-group type: Pm-3m, No. 221
total moment: 4.196 μB/f.u.



No. 9
Below is CsZnH2W after structural relaxation, with properties calculated at the PBE level.

Cell: 4.340 4.340 6.622 Å, 90.00 90.00 90.00°
Fractional positions:
Cs (0.000, 0.000, 0.000)
Zn (0.000, 0.000, 0.500)
H (0.000, 0.500, 0.500)
H (0.500, 0.000, 0.500)
W (0.500, 0.500, 0.000)

## Properties
E_tot: -2.34 eV per atom
DOS at the Fermi energy: 2.120 states/eV per cell
crystal system: tetragonal
space-group type: P4/mmm, No. 123
total moment: 4.792 μB/f.u.



No. 10
Below is CsYH after structural relaxation, with properties calculated at the PBE level.

Cell: 14.684 3.745 3.745 Å, 60.34 90.00 90.00°
Fractional positions:
Cs (0.135, 0.000, 0.000)
Cs (0.865, 0.000, 0.000)
Y (0.395, 0.445, 0.445)
Y (0.605, 0.445, 0.445)
H (0.000, 0.339, 0.339)
H (0.500, 0.113, 0.113)

## Properties
E_tot: -3.33 eV per atom
DOS at the Fermi energy: 4.022 states/eV per cell
crystal system: orthorhombic
space-group type: Amm2, No. 38
total moment: 0.180 μB/f.u.



No. 11
Below is CsY3H after structural relaxation, with properties calculated at the PBE level.

Cell: 5.247 5.247 5.247 Å, 90.00 90.00 90.00°
Fractional positions:
Cs (0.000, 0.000, 0.000)
Y (0.000, 0.500, 0.500)
Y (0.500, 0.000, 0.500)
Y (0.500, 0.500, 0.000)
H (0.500, 0.500, 0.500)

## Properties
E_tot: -4.31 eV per atom
DOS at the Fermi energy: 8.072 states/eV per cell
crystal system: cubic
energy above the most stable polymorph in this dataset: 0 meV/atom
space-group type: Pm-3m, No. 221
total moment: 0.180 μB/f.u.



No. 12
Below is CsYH2 after structural relaxation, with properties calculated at the PBE level.

Cell: 4.825 4.825 4.825 Å, 60.00 60.00 60.00°
Fractional positions:
Cs (0.000, 0.000, 0.000)
Y (0.500, 0.500, 0.500)
H (0.250, 0.250, 0.250)
H (0.750, 0.750, 0.750)

## Properties
E_tot: -2.88 eV per atom
DOS at the Fermi energy: 4.140 states/eV per cell
crystal system: cubic
space-group type: Fm-3m, No. 225
total moment: 0.859 μB/f.u.



No. 13
Below is CsYH3 after structural relaxation, with properties calculated at the PBE level.

Cell: 4.925 4.925 4.925 Å, 90.00 90.00 90.00°
Fractional positions:
Cs (0.000, 0.000, 0.000)
Y (0.500, 0.500, 0.500)
H (0.000, 0.000, 0.500)
H (0.000, 0.500, 0.000)
H (0.500, 0.000, 0.000)

## Properties
E_tot: -2.49 eV per atom
DOS at the Fermi energy: 3.504 states/eV per cell
crystal system: cubic
energy above the most stable polymorph in this dataset: 1219 meV/atom
space-group type: Pm-3m, No. 221
total moment: 0.000 μB/f.u.



No. 14
Below is CsY3H after structural relaxation, with properties calculated at the PBE level.

Cell: 5.722 5.722 5.722 Å, 90.00 90.00 90.00°
Fractional positions:
Cs (0.000, 0.000, 0.000)
Y (0.000, 0.000, 0.500)
Y (0.000, 0.500, 0.000)
Y (0.500, 0.000, 0.000)
H (0.500, 0.500, 0.500)

## Properties
E_tot: -2.85 eV per atom
DOS at the Fermi energy: 4.839 states/eV per cell
crystal system: cubic
energy above the most stable polymorph in this dataset: 1455 meV/atom
space-group type: Pm-3m, No. 221
total moment: 0.000 μB/f.u.



No. 15
Below is CsYH3 after structural relaxation, with properties calculated at the PBE level.

Cell: 4.507 4.507 4.507 Å, 90.00 90.00 90.00°
Fractional positions:
Cs (0.000, 0.000, 0.000)
Y (0.500, 0.500, 0.500)
H (0.000, 0.500, 0.500)
H (0.500, 0.000, 0.500)
H (0.500, 0.500, 0.000)

## Properties
E_tot: -3.71 eV per atom
DOS at the Fermi energy: 1.378 states/eV per cell
crystal system: cubic
energy above the most stable polymorph in this dataset: 0 meV/atom
space-group type: Pm-3m, No. 221
total moment: 0.000 μB/f.u.



No. 16
Below is CsY2H after structural relaxation, with properties calculated at the PBE level.

Cell: 5.410 5.410 5.410 Å, 60.00 60.00 60.00°
Fractional positions:
Cs (0.000, 0.000, 0.000)
Y (0.250, 0.250, 0.250)
Y (0.750, 0.750, 0.750)
H (0.500, 0.500, 0.500)

## Properties
E_tot: -3.16 eV per atom
DOS at the Fermi energy: 2.051 states/eV per cell
crystal system: cubic
space-group type: Fm-3m, No. 225
total moment: 0.000 μB/f.u.



No. 17
Below is Cs2YH after structural relaxation, with properties calculated at the PBE level.

Cell: 10.511 10.511 10.511 Å, 92.40 92.40 156.38°
Fractional positions:
Cs (0.375, 0.043, 0.168)
Cs (0.793, 0.625, 0.668)
Cs (0.875, 0.207, 0.832)
Cs (0.957, 0.125, 0.332)
Y (0.250, 0.750, 0.500)
Y (0.500, 0.500, 0.000)
H (0.000, 0.000, 0.000)
H (0.750, 0.250, 0.500)

## Properties
E_tot: -2.51 eV per atom
DOS at the Fermi energy: 9.696 states/eV per cell
crystal system: tetragonal
space-group type: I-42d, No. 122
total moment: 1.050 μB/f.u.



No. 18
Below is CsYbH3 after structural relaxation, with properties calculated at the PBE level.

Cell: 4.577 4.577 4.577 Å, 90.00 90.00 90.00°
Fractional positions:
Cs (0.000, 0.000, 0.000)
Yb (0.500, 0.500, 0.500)
H (0.000, 0.500, 0.500)
H (0.500, 0.000, 0.500)
H (0.500, 0.500, 0.000)

## Properties
E_tot: -2.89 eV per atom
DOS at the Fermi energy: 0.000 states/eV per cell
crystal system: cubic
space-group type: Pm-3m, No. 221
total moment: 0.000 μB/f.u.



No. 19
Below is Cs3ZnH5 after structural relaxation, with properties calculated at the PBE level.

Cell: 8.483 8.483 8.483 Å, 121.50 121.50 87.42°
Fractional positions:
Cs (0.179, 0.679, 0.857)
Cs (0.250, 0.250, 0.000)
Cs (0.321, 0.179, 0.500)
Cs (0.679, 0.821, 0.500)
Cs (0.750, 0.750, 0.000)
Cs (0.821, 0.321, 0.143)
Zn (0.250, 0.750, 0.500)
Zn (0.750, 0.250, 0.500)
H (0.000, 0.000, 0.000)
H (0.054, 0.784, 0.500)
H (0.216, 0.716, 0.269)
H (0.284, 0.554, 0.500)
H (0.446, 0.946, 0.731)
H (0.500, 0.500, 0.000)
H (0.554, 0.054, 0.269)
H (0.716, 0.446, 0.500)
H (0.784, 0.284, 0.731)
H (0.946, 0.216, 0.500)

## Properties
E_tot: -2.53 eV per atom
DOS at the Fermi energy: 0.000 states/eV per cell
crystal system: tetragonal
space-group type: I4/mcm, No. 140
total moment: 0.000 μB/f.u.



No. 20
Below is CsZnH3 after structural relaxation, with properties calculated at the PBE level.

Cell: 6.791 5.496 11.933 Å, 90.00 115.64 90.00°
Fractional positions:
Cs (0.222, 0.244, 0.180)
Cs (0.222, 0.256, 0.680)
Cs (0.778, 0.744, 0.320)
Cs (0.778, 0.756, 0.820)
Zn (0.367, 0.677, 0.968)
Zn (0.367, 0.823, 0.468)
Zn (0.633, 0.177, 0.532)
Zn (0.633, 0.323, 0.032)
H (0.266, 0.739, 0.562)
H (0.266, 0.761, 0.062)
H (0.270, 0.730, 0.325)
H (0.270, 0.770, 0.825)
H (0.350, 0.152, 0.462)
H (0.350, 0.348, 0.962)
H (0.650, 0.652, 0.038)
H (0.650, 0.848, 0.538)
H (0.730, 0.230, 0.175)
H (0.730, 0.270, 0.675)
H (0.734, 0.239, 0.938)
H (0.734, 0.261, 0.438)

## Properties
E_tot: -2.62 eV per atom
DOS at the Fermi energy: 0.000 states/eV per cell
crystal system: monoclinic
energy above the most stable polymorph in this dataset: 0 meV/atom
space-group type: P2_1/c, No. 14
total moment: 0.000 μB/f.u.



No. 21
Below is Cs2Zn3H8 after structural relaxation, with properties calculated at the PBE level.

Cell: 7.207 7.207 5.309 Å, 106.62 106.62 48.00°
Fractional positions:
Cs (0.210, 0.210, 0.179)
Cs (0.790, 0.790, 0.821)
Zn (0.243, 0.757, 0.500)
Zn (0.500, 0.500, 0.000)
Zn (0.757, 0.243, 0.500)
H (0.095, 0.095, 0.529)
H (0.235, 0.642, 0.146)
H (0.358, 0.765, 0.854)
H (0.416, 0.416, 0.559)
H (0.584, 0.584, 0.441)
H (0.642, 0.235, 0.146)
H (0.765, 0.358, 0.854)
H (0.905, 0.905, 0.471)

## Properties
E_tot: -2.45 eV per atom
crystal system: monoclinic
space-group type: C2/m, No. 12
total moment: 0.000 μB/f.u.



No. 22
Below is CsZn2H after structural relaxation, with properties calculated at the PBE level.

Cell: 6.601 6.601 6.601 Å, 120.07 120.07 89.89°
Fractional positions:
Cs (0.375, 0.625, 0.750)
Cs (0.625, 0.375, 0.250)
Zn (0.000, 0.000, 0.000)
Zn (0.000, 0.000, 0.500)
Zn (0.000, 0.500, 0.000)
Zn (0.500, 0.000, 0.500)
H (0.125, 0.875, 0.250)
H (0.875, 0.125, 0.750)

## Properties
E_tot: -1.34 eV per atom
DOS at the Fermi energy: 2.674 states/eV per cell
crystal system: tetragonal
energy above the most stable polymorph in this dataset: 0 meV/atom
space-group type: I4_1/amd, No. 141
total moment: 0.000 μB/f.u.



No. 23
Below is CsZnH3 after structural relaxation, with properties calculated at the PBE level.

Cell: 4.104 4.104 4.104 Å, 90.00 90.00 90.00°
Fractional positions:
Cs (0.000, 0.000, 0.000)
Zn (0.500, 0.500, 0.500)
H (0.000, 0.500, 0.500)
H (0.500, 0.000, 0.500)
H (0.500, 0.500, 0.000)

## Properties
E_tot: -2.38 eV per atom
DOS at the Fermi energy: 0.221 states/eV per cell
crystal system: cubic
energy above the most stable polymorph in this dataset: 240 meV/atom
space-group type: Pm-3m, No. 221
total moment: 0.000 μB/f.u.



No. 24
Below is Cs3ZnH after structural relaxation, with properties calculated at the PBE level.

Cell: 6.219 6.219 6.219 Å, 90.00 90.00 90.00°
Fractional positions:
Cs (0.000, 0.000, 0.500)
Cs (0.000, 0.500, 0.000)
Cs (0.500, 0.000, 0.000)
Zn (0.500, 0.500, 0.500)
H (0.000, 0.000, 0.000)

## Properties
E_tot: -1.37 eV per atom
DOS at the Fermi energy: 4.262 states/eV per cell
crystal system: cubic
energy above the most stable polymorph in this dataset: 0 meV/atom
space-group type: Pm-3m, No. 221
total moment: 0.000 μB/f.u.



No. 25
Below is CsZn2H6 after structural relaxation, with properties calculated at the PBE level.

Cell: 7.224 7.224 5.487 Å, 110.11 110.11 28.65°
Fractional positions:
Cs (0.000, 0.000, 0.000)
Zn (0.223, 0.223, 0.689)
Zn (0.777, 0.777, 0.311)
H (0.102, 0.102, 0.593)
H (0.260, 0.260, 0.383)
H (0.325, 0.325, 0.940)
H (0.675, 0.675, 0.060)
H (0.740, 0.740, 0.617)
H (0.898, 0.898, 0.407)

## Properties
E_tot: -2.47 eV per atom
DOS at the Fermi energy: 1.262 states/eV per cell
crystal system: monoclinic
space-group type: C2/m, No. 12
total moment: 0.000 μB/f.u.